No. 1
# TcPd3

A geometry-optimized TcPd3 structure (GGA-PBE, the Alexandria database).

Values from the calculation:
For the total energy, the calculation gives -25.85 eV for the cell shown. The calculation puts the energy of formation from the pure elements at 25 meV/atom. The calculation puts the density of states at the Fermi level at 6.2 states/eV/cell.

Geometry as POSCAR:
```
TcPd3
1.0
2.769 0.000 0.000
-1.384 2.398 0.000
0.000 0.000 9.100
Tc Pd
1 3
Direct
0.000 0.000 0.000 Tc
0.000 0.000 0.500 Pd
0.333 0.667 0.242 Pd
0.667 0.333 0.758 Pd
```

***

No. 2
# Zr2CdMo

A geometry-optimized Zr2CdMo structure (GGA-PBE, the Alexandria database).

Values from the calculation:
For the total energy, the calculation gives -28.00 eV for the cell shown. The calculation puts the energy of formation from the pure elements at 211 meV/atom. The calculation puts the density of states at the Fermi level at 3.8 states/eV/cell.

Geometry as POSCAR:
```
Zr2CdMo
1.0
2.895 0.000 0.000
0.000 2.895 0.000
0.000 0.000 9.651
Zr Cd Mo
2 1 1
Direct
0.000 0.000 0.000 Zr
0.500 0.500 0.266 Zr
0.000 0.000 0.524 Cd
0.500 0.500 0.754 Mo
```

***

No. 3
# TcHg2H

A geometry-optimized TcHg2H structure (GGA-PBE, the Alexandria database).

Values from the calculation:
For the total energy, the calculation gives -21.20 eV for the cell shown. The calculation puts the density of states at the Fermi level at 3.9 states/eV/cell. For the relative energy among the computed polymorphs, the calculation gives 0 meV/atom.

Geometry as POSCAR:
```
TcHg2H
1.0
-3.341 3.341 2.799
3.341 -3.341 2.799
3.341 3.341 -2.799
Tc Hg H
2 4 2
Direct
0.000 0.000 0.000 Tc
0.750 0.250 0.500 Tc
0.199 0.625 0.074 Hg
0.375 0.449 0.574 Hg
0.551 0.125 0.926 Hg
0.875 0.801 0.426 Hg
0.250 0.750 0.500 H
0.500 0.500 0.000 H
```

***

No. 4
# La2Ti3NiPt12

A geometry-optimized La2Ti3NiPt12 structure (GGA-PBE, the Alexandria database).

Values from the calculation:
For the total energy, the calculation gives -118.67 eV for the cell shown. The calculation puts the energy of formation from the pure elements at -381 meV/atom. The calculation puts the density of states at the Fermi level at 12.0 states/eV/cell.

Geometry as POSCAR:
```
La2Ti3NiPt12
1.0
4.179 2.413 6.181
-4.179 2.413 6.181
0.000 -4.826 6.181
La Ti Ni Pt
2 3 1 12
Direct
0.125 0.125 0.125 La
0.875 0.875 0.875 La
0.000 0.500 0.500 Ti
0.500 0.000 0.500 Ti
0.500 0.500 0.000 Ti
0.500 0.500 0.500 Ni
0.126 0.126 0.616 Pt
0.126 0.616 0.126 Pt
0.135 0.629 0.629 Pt
0.371 0.371 0.865 Pt
0.371 0.865 0.371 Pt
0.384 0.874 0.874 Pt
0.616 0.126 0.126 Pt
0.629 0.135 0.629 Pt
0.629 0.629 0.135 Pt
0.865 0.371 0.371 Pt
0.874 0.384 0.874 Pt
0.874 0.874 0.384 Pt
```

***

No. 5
# La4PuSb5

A geometry-optimized La4PuSb5 structure (GGA-PBE, the Alexandria database).

Values from the calculation:
The calculation puts the energy relative to the elements, uncorrected at -1123 meV per atom. For the total energy, the calculation gives -65.88 eV for the cell shown. The calculation puts the density of states at the Fermi level at 18.7 states/eV/cell.

Geometry as POSCAR:
```
La4PuSb5
1.0
-2.297 2.297 16.225
2.297 -2.297 16.225
2.297 2.297 -16.225
La Pu Sb
4 1 5
Direct
0.100 0.100 0.000 La
0.301 0.301 0.000 La
0.699 0.699 0.000 La
0.900 0.900 0.000 La
0.500 0.500 0.000 Pu
0.000 0.000 0.000 Sb
0.200 0.200 0.000 Sb
0.402 0.402 0.000 Sb
0.598 0.598 0.000 Sb
0.800 0.800 0.000 Sb
```

***

No. 6
# LiCe2Au6

A geometry-optimized LiCe2Au6 structure (GGA-PBE, the Alexandria database).

Values from the calculation:
For the total energy, the calculation gives -38.27 eV for the cell shown. The calculation puts the energy of formation from the pure elements at -536 meV/atom. The calculation puts the density of states at the Fermi level at 14.7 states/eV/cell. For the relative energy among the computed polymorphs, the calculation gives 0 meV/atom.

Geometry as POSCAR:
```
LiCe2Au6
1.0
6.393 0.000 0.000
-3.197 5.537 0.000
0.000 0.000 5.387
Li Ce Au
1 2 6
Direct
0.000 0.000 0.000 Li
0.333 0.667 0.189 Ce
0.667 0.333 0.811 Ce
0.178 0.356 0.701 Au
0.178 0.822 0.701 Au
0.356 0.178 0.299 Au
0.644 0.822 0.701 Au
0.822 0.178 0.299 Au
0.822 0.644 0.299 Au
```

***

No. 7
# NbNiPt14

A geometry-optimized NbNiPt14 structure (GGA-PBE, the Alexandria database).

Values from the calculation:
For the total energy, the calculation gives -103.70 eV for the cell shown. The calculation puts the energy of formation from the pure elements at -205 meV/atom. The calculation puts the density of states at the Fermi level at 25.7 states/eV/cell.

Geometry as POSCAR:
```
NbNiPt14
1.0
5.633 0.000 0.000
0.000 5.633 0.000
0.000 0.000 7.842
Nb Ni Pt
1 1 14
Direct
0.000 0.000 0.000 Nb
0.500 0.500 0.000 Ni
0.000 0.000 0.500 Pt
0.000 0.500 0.000 Pt
0.000 0.500 0.500 Pt
0.251 0.251 0.243 Pt
0.251 0.251 0.757 Pt
0.251 0.749 0.243 Pt
0.251 0.749 0.757 Pt
0.500 0.000 0.000 Pt
0.500 0.000 0.500 Pt
0.500 0.500 0.500 Pt
0.749 0.251 0.243 Pt
0.749 0.251 0.757 Pt
0.749 0.749 0.243 Pt
0.749 0.749 0.757 Pt
```

***

No. 8
# Li2PClO3

A geometry-optimized Li2PClO3 structure (GGA-PBE, the Alexandria database).

Values from the calculation:
The calculation puts the energy relative to the elements, uncorrected at -1914 meV per atom. For the total energy, the calculation gives -78.71 eV for the cell shown. The calculation puts the density of states at the Fermi level at 0.0 states/eV/cell.

Geometry as POSCAR:
```
Li2PClO3
1.0
2.788 1.610 6.609
-2.788 1.610 6.609
0.000 -3.220 6.609
Li P Cl O
4 2 2 6
Direct
0.000 0.000 0.000 Li
0.000 0.000 0.500 Li
0.000 0.500 0.000 Li
0.500 0.000 0.000 Li
0.420 0.420 0.420 P
0.580 0.580 0.580 P
0.315 0.315 0.315 Cl
0.685 0.685 0.685 Cl
0.252 0.717 0.717 O
0.283 0.283 0.748 O
0.283 0.748 0.283 O
0.717 0.252 0.717 O
0.717 0.717 0.252 O
0.748 0.283 0.283 O
```